[1]
Material: Sm4SiO
Method: DFT, PBE
State: optimized geometry

Lattice parameters (Å, degrees): 8.095 14.184 6.330 90.00 124.54 90.00
Space group C2/c (No. 15)
Symmetry-distinct sites (fractional):
Sm: 0.147 0.206 0.158 [8 per cell]
Sm: 0.234 0.048 0.714 [8 per cell]
Si: 0.000 0.387 0.750 [4 per cell]
O: 0.000 0.063 0.250 [4 per cell]

Output
The formation energy without anion corrections is -1.093 eV/atom. The value obtained for the final energy is -5.969 eV per atom. The calculation puts the calculated volume at 150 Å³/f.u.

***

[2]
Material: SmSiO4
Method: DFT, PBE
State: optimized geometry

Lattice parameters (Å, degrees): 5.023 5.023 11.524 90.00 90.00 90.00
Space group I4_1/a (No. 88, origin choice 2)
Symmetry-distinct sites (fractional):
Sm: 0.000 0.250 0.125 [4 per cell]
Si: 0.000 0.250 0.625 [4 per cell]
O: 0.126 0.000 0.700 [16 per cell]

Output
The formation energy without anion corrections is -2.766 eV/atom. The value obtained for the final energy is -7.761 eV per atom. The calculation puts the calculated volume at 73 Å³/f.u.

***

What did the second record say?
Material: SmSiO4
Method: DFT, PBE
State: optimized geometry

Lattice parameters (Å, degrees): 5.023 5.023 11.524 90.00 90.00 90.00
Space group I4_1/a (No. 88, origin choice 2)
Symmetry-distinct sites (fractional):
Sm: 0.000 0.250 0.125 [4 per cell]
Si: 0.000 0.250 0.625 [4 per cell]
O: 0.126 0.000 0.700 [16 per cell]

Output
The formation energy without anion corrections is -2.766 eV/atom. The value obtained for the final energy is -7.761 eV per atom. The calculation puts the calculated volume at 73 Å³/f.u.

***

Which of these has the highest final energy? Sm4SiO

***

The highest final energy belongs to which entry? Sm4SiO